# FeW2Cl PBE relaxed
# energy relative to the elements, uncorrected = 3.2 eV per formula unit
# energy above the most stable polymorph in this dataset = 402 meV/atom
# calculated total energy = -32.97 eV per cell
# theoretical density = 12.45 Mg/m³
# magnetization = 1.8 μB/f.u.
data_FeW2Cl
_chemical_formula_sum 'Fe1 W2 Cl1'
_cell_length_a 4.5844
_cell_length_b 4.5844
_cell_length_c 5.1291
_cell_angle_alpha 78.05
_cell_angle_beta 78.05
_cell_angle_gamma 35.58
_space_group_name_H-M_alt 'P 1'
_space_group_IT_number 1
_space_group_name_Hall 'P 1'
loop_
_atom_site_label
_atom_site_type_symbol
_atom_site_fract_x
_atom_site_fract_y
_atom_site_fract_z
Cl1 Cl 0.2500 0.2500 0.2500
W1 W 0.4965 0.4965 0.5203
W2 W 0.0035 0.0035 0.9797
Fe1 Fe 0.7500 0.7500 0.7500